Entry from Alexandria via LeMat-Bulk: crystalline PaTa2S at its relaxed geometry (PBE).

Output
E: -36.64 eV/cell
E_form (uncorrected): 0.1711 eV per atom
Mass density: 13.4 g/cm3
Space-group type: R-3m, No. 166

Cell: 9.6536 9.6536 9.6536 Å, 18.28 18.28 18.28°
Atoms (fractional coordinates):
Pa: 0.0000 0.0000 0.0000
Ta: 0.1013 0.1013 0.1013
Ta: 0.8987 0.8987 0.8987
S: 0.5000 0.5000 0.5000

Entry from Alexandria via LeMat-Bulk: crystalline Ba2Si2Pb at its relaxed geometry (PBE).

Output
ΔE to the lowest computed polymorph: 418 meV per atom
E: -17.98 eV/cell
E_form (uncorrected): 0.0839 eV per atom
Mass density: 4.9 g/cm3
Space-group type: I4/mmm, No. 139

Cell: 7.0483 7.0483 7.0483 Å, 133.42 133.42 68.00°
Atoms (fractional coordinates):
Ba: 0.2500 0.7500 0.5000
Ba: 0.7500 0.2500 0.5000
Si: 0.0939 0.0939 0.0000
Si: 0.9061 0.9061 0.0000
Pb: 0.5000 0.5000 0.0000

Entry from Alexandria via LeMat-Bulk: crystalline BePF at its relaxed geometry (PBE).

Output
ΔE to the lowest computed polymorph: 39 meV per atom
E: -31.04 eV/cell
E_form (uncorrected): -1.5050 eV per atom
Mass density: 2.7 g/cm3
Space-group type: I2_12_12_1, No. 24

Cell: 5.9841 5.9841 5.9841 Å, 145.76 142.62 51.59°
Atoms (fractional coordinates):
Be: 0.0930 0.3430 0.7500
Be: 0.4070 0.1570 0.2500
P: 0.5580 0.7500 0.3080
P: 0.9420 0.2500 0.1920
F: 0.2500 0.0368 0.7868
F: 0.7500 0.4632 0.7132

Entry from Alexandria via LeMat-Bulk: crystalline IO2 at its relaxed geometry (PBE).

Output
ΔE to the lowest computed polymorph: 246 meV per atom
E: -22.75 eV/cell
E_form (uncorrected): 0.0305 eV per atom
Mass density: 4.3 g/cm3
Space-group type: Cmcm, No. 63

Cell: 8.2902 8.2902 4.0493 Å, 90.00 90.00 153.65°
Atoms (fractional coordinates):
I: 0.1493 0.8507 0.7500
I: 0.8507 0.1493 0.2500
O: 0.1638 0.8362 0.2500
O: 0.3987 0.6013 0.2500
O: 0.6013 0.3987 0.7500
O: 0.8362 0.1638 0.7500